# 1
# PBE YMn3Cd, optimized geometry
# Polymorph energy (0 for the lowest one) ... 0.0 meV per atom
# Magnetization ... 11.86 μB per cell
# Total DFT energy (no corrections) ... -30.09 eV per cell
# ΔE_f ... 463 kJ/mol of formula units
data_YMn3Cd
_chemical_formula_sum 'Y1 Mn3 Cd1'
_cell_length_a 4.966
_cell_length_b 4.966
_cell_length_c 4.966
_cell_angle_alpha 90.00
_cell_angle_beta 90.00
_cell_angle_gamma 90.00
_space_group_name_H-M_alt 'P 1'
_space_group_IT_number 1
_space_group_name_Hall 'P 1'
loop_
_atom_site_label
_atom_site_type_symbol
_atom_site_fract_x
_atom_site_fract_y
_atom_site_fract_z
Y1 Y 0.000 0.000 0.000
Mn1 Mn 0.000 0.500 0.500
Mn2 Mn 0.500 0.000 0.500
Mn3 Mn 0.500 0.500 0.000
Cd1 Cd 0.500 0.500 0.500

=====

# 2
# PBE Y2MnCd, optimized geometry
# Polymorph energy (0 for the lowest one) ... 568.0 meV per atom
# Magnetization ... 0.00 μB per cell
# Total DFT energy (no corrections) ... -42.16 eV per cell
# ΔE_f ... 187 kJ/mol of formula units
data_Y2MnCd
_chemical_formula_sum 'Y4 Mn2 Cd2'
_cell_length_a 6.342
_cell_length_b 6.342
_cell_length_c 6.342
_cell_angle_alpha 103.72
_cell_angle_beta 103.72
_cell_angle_gamma 121.71
_space_group_name_H-M_alt 'P 1'
_space_group_IT_number 1
_space_group_name_Hall 'P 1'
loop_
_atom_site_label
_atom_site_type_symbol
_atom_site_fract_x
_atom_site_fract_y
_atom_site_fract_z
Y1 Y 0.077 0.125 0.452
Y2 Y 0.375 0.923 0.048
Y3 Y 0.673 0.625 0.548
Y4 Y 0.875 0.327 0.952
Mn1 Mn 0.000 0.000 0.000
Mn2 Mn 0.750 0.250 0.500
Cd1 Cd 0.250 0.750 0.500
Cd2 Cd 0.500 0.500 0.000

=====

# 3
# PBE YMnCd3, optimized geometry
# Polymorph energy (0 for the lowest one) ... 0.0 meV per atom
# Magnetization ... 2.64 μB per cell
# Total DFT energy (no corrections) ... -16.73 eV per cell
# ΔE_f ... 159 kJ/mol of formula units
data_YMnCd3
_chemical_formula_sum 'Y1 Mn1 Cd3'
_cell_length_a 5.038
_cell_length_b 5.038
_cell_length_c 5.038
_cell_angle_alpha 90.00
_cell_angle_beta 90.00
_cell_angle_gamma 90.00
_space_group_name_H-M_alt 'P 1'
_space_group_IT_number 1
_space_group_name_Hall 'P 1'
loop_
_atom_site_label
_atom_site_type_symbol
_atom_site_fract_x
_atom_site_fract_y
_atom_site_fract_z
Y1 Y 0.000 0.000 0.000
Mn1 Mn 0.500 0.500 0.500
Cd1 Cd 0.000 0.500 0.500
Cd2 Cd 0.500 0.000 0.500
Cd3 Cd 0.500 0.500 0.000

=====

# 4
# PBE Y2MnCd, optimized geometry
# Polymorph energy (0 for the lowest one) ... 0.0 meV per atom
# Magnetization ... 2.95 μB per cell
# Total DFT energy (no corrections) ... -23.35 eV per cell
# ΔE_f ... -33 kJ/mol of formula units
data_Y2MnCd
_chemical_formula_sum 'Y2 Mn1 Cd1'
_cell_length_a 3.548
_cell_length_b 3.575
_cell_length_c 7.694
_cell_angle_alpha 90.00
_cell_angle_beta 90.00
_cell_angle_gamma 90.00
_space_group_name_H-M_alt 'P 1'
_space_group_IT_number 1
_space_group_name_Hall 'P 1'
loop_
_atom_site_label
_atom_site_type_symbol
_atom_site_fract_x
_atom_site_fract_y
_atom_site_fract_z
Y1 Y 0.000 0.000 0.228
Y2 Y 0.000 0.000 0.772
Mn1 Mn 0.500 0.500 0.000
Cd1 Cd 0.500 0.500 0.500

=====

# 5
# PBE Y2MnCd, optimized geometry
# Polymorph energy (0 for the lowest one) ... 234.6 meV per atom
# Magnetization ... 2.99 μB per cell
# Total DFT energy (no corrections) ... -22.41 eV per cell
# ΔE_f ... 58 kJ/mol of formula units
data_Y2MnCd
_chemical_formula_sum 'Y2 Mn1 Cd1'
_cell_length_a 9.712
_cell_length_b 9.712
_cell_length_c 9.712
_cell_angle_alpha 21.03
_cell_angle_beta 21.03
_cell_angle_gamma 21.03
_space_group_name_H-M_alt 'P 1'
_space_group_IT_number 1
_space_group_name_Hall 'P 1'
loop_
_atom_site_label
_atom_site_type_symbol
_atom_site_fract_x
_atom_site_fract_y
_atom_site_fract_z
Y1 Y 0.244 0.244 0.244
Y2 Y 0.756 0.756 0.756
Mn1 Mn 0.500 0.500 0.500
Cd1 Cd 0.000 0.000 0.000

=====

# 6
# PBE Y3MnCd, optimized geometry
# Polymorph energy (0 for the lowest one) ... 0.0 meV per atom
# Magnetization ... 0.00 μB per cell
# Total DFT energy (no corrections) ... -28.55 eV per cell
# ΔE_f ... 89 kJ/mol of formula units
data_Y3MnCd
_chemical_formula_sum 'Y3 Mn1 Cd1'
_cell_length_a 5.189
_cell_length_b 5.189
_cell_length_c 5.189
_cell_angle_alpha 90.00
_cell_angle_beta 90.00
_cell_angle_gamma 90.00
_space_group_name_H-M_alt 'P 1'
_space_group_IT_number 1
_space_group_name_Hall 'P 1'
loop_
_atom_site_label
_atom_site_type_symbol
_atom_site_fract_x
_atom_site_fract_y
_atom_site_fract_z
Y1 Y 0.000 0.000 0.500
Y2 Y 0.000 0.500 0.000
Y3 Y 0.500 0.000 0.000
Mn1 Mn 0.000 0.000 0.000
Cd1 Cd 0.500 0.500 0.500

=====

Among the records above, which one has the lowest total DFT energy (no corrections)?
number 2